Record 1
The following is a meta-GGA SCAN calculation of a crystal of Sc3NiB relaxed with PBEsol, from Alexandria.

Cell: 4.5278 4.5278 4.5278 Å, 90.00 90.00 90.00°
Last column: nearest neighbours and their distance in Å.
Element x y z (fractional)
1 Sc 0.0000 0.0000 0.5000  2 B 2.26
2 Sc 0.0000 0.5000 0.0000  2 B 2.26
3 Sc 0.5000 0.0000 0.0000  2 B 2.26
4 Ni 0.5000 0.5000 0.5000  12 Sc 3.20
5 B 0.0000 0.0000 0.0000  6 Sc 2.26

Properties
ρ = 3.7 Mg/m³
total DFT energy (no corrections) = -13.24 eV/atom
calculated formation energy = 0.022 eV/atom

***

Record 2
The following is a meta-GGA SCAN calculation of a crystal of Ni21Sn2B6 relaxed with PBEsol, from Alexandria.

Cell: 7.3918 7.3918 7.3918 Å, 60.00 60.00 60.00°
Last column: nearest neighbours and their distance in Å.
Element x y z (fractional)
1 Ni 0.0000 0.0000 0.0000  12 Ni 2.49
2 Ni 0.0000 0.0000 0.3366  2 B 2.07
3 Ni 0.0000 0.0000 0.6634  2 B 2.07
4 Ni 0.0000 0.3366 0.0000  2 B 2.07
5 Ni 0.0000 0.3366 0.6634  2 B 2.07
6 Ni 0.0000 0.6634 0.0000  2 B 2.07
7 Ni 0.0000 0.6634 0.3366  2 B 2.07
8 Ni 0.1558 0.6147 0.6147  3 B 2.07
9 Ni 0.3366 0.0000 0.0000  2 B 2.07
10 Ni 0.3366 0.0000 0.6634  2 B 2.07
11 Ni 0.3366 0.6634 0.0000  2 B 2.07
12 Ni 0.3853 0.3853 0.3853  3 B 2.07
13 Ni 0.3853 0.3853 0.8442  3 B 2.07
14 Ni 0.3853 0.8442 0.3853  3 B 2.07
15 Ni 0.6147 0.1558 0.6147  3 B 2.07
16 Ni 0.6147 0.6147 0.1558  3 B 2.07
17 Ni 0.6147 0.6147 0.6147  3 B 2.07
18 Ni 0.6634 0.0000 0.0000  2 B 2.07
19 Ni 0.6634 0.0000 0.3366  2 B 2.07
20 Ni 0.6634 0.3366 0.0000  2 B 2.07
21 Ni 0.8442 0.3853 0.3853  3 B 2.07
22 Sn 0.2500 0.2500 0.2500  4 Ni 2.45
23 Sn 0.7500 0.7500 0.7500  4 Ni 2.45
24 B 0.2718 0.2718 0.7282  8 Ni 2.07
25 B 0.2718 0.7282 0.2718  8 Ni 2.07
26 B 0.2718 0.7282 0.7282  8 Ni 2.07
27 B 0.7282 0.2718 0.2718  8 Ni 2.07
28 B 0.7282 0.2718 0.7282  8 Ni 2.07
29 B 0.7282 0.7282 0.2718  8 Ni 2.07

Properties
ρ = 8.9 Mg/m³
total DFT energy (no corrections) = -15.98 eV/atom
calculated formation energy = -0.253 eV/atom

***

Record 3
The following is a meta-GGA SCAN calculation of a crystal of SrNi12B6 relaxed with PBEsol, from Alexandria.

Cell: 5.9884 5.9884 5.9884 Å, 104.46 104.46 104.46°
Last column: nearest neighbours and their distance in Å.
Element x y z (fractional)
1 Sr 0.0000 0.0000 0.0000  18 Ni 3.08-3.24, 6 B 3.15
2 Ni 0.1315 0.5000 0.8685  4 B 2.02-2.08
3 Ni 0.1315 0.8685 0.5000  4 B 2.02-2.08
4 Ni 0.1871 0.4587 0.4587  3 B 2.05
5 Ni 0.4587 0.1871 0.4587  3 B 2.05
6 Ni 0.4587 0.4587 0.1871  3 B 2.05
7 Ni 0.5000 0.1315 0.8685  4 B 2.02-2.08
8 Ni 0.5000 0.8685 0.1315  4 B 2.02-2.08
9 Ni 0.5413 0.5413 0.8129  3 B 2.05
10 Ni 0.5413 0.8129 0.5413  3 B 2.05
11 Ni 0.8129 0.5413 0.5413  3 B 2.05
12 Ni 0.8685 0.1315 0.5000  4 B 2.02-2.08
13 Ni 0.8685 0.5000 0.1315  4 B 2.02-2.08
14 B 0.2347 0.2347 0.6623  7 Ni 2.02-2.08
15 B 0.2347 0.6623 0.2347  7 Ni 2.02-2.08
16 B 0.3377 0.7653 0.7653  7 Ni 2.02-2.08
17 B 0.6623 0.2347 0.2347  7 Ni 2.02-2.08
18 B 0.7653 0.3377 0.7653  7 Ni 2.02-2.08
19 B 0.7653 0.7653 0.3377  7 Ni 2.02-2.08

Properties
ρ = 7.5 Mg/m³
total DFT energy (no corrections) = -14.09 eV/atom
calculated formation energy = -0.355 eV/atom

***

Record 4
The following is a meta-GGA SCAN calculation of a crystal of Ta3Ni20B6 relaxed with PBEsol, from Alexandria.

Cell: 7.3999 7.3999 7.3999 Å, 60.00 60.00 60.00°
Last column: nearest neighbours and their distance in Å.
Element x y z (fractional)
1 Ta 0.0000 0.0000 0.0000  12 Ni 2.54, 6 B 2.80
2 Ta 0.2500 0.2500 0.2500  4 Ni 2.44
3 Ta 0.7500 0.7500 0.7500  4 Ni 2.44
4 Ni 0.0000 0.0000 0.3436  2 B 2.06
5 Ni 0.0000 0.0000 0.6564  2 B 2.06
6 Ni 0.0000 0.3436 0.0000  2 B 2.06
7 Ni 0.0000 0.3436 0.6564  2 B 2.06
8 Ni 0.0000 0.6564 0.0000  2 B 2.06
9 Ni 0.0000 0.6564 0.3436  2 B 2.06
10 Ni 0.1531 0.6156 0.6156  3 B 2.10
11 Ni 0.3436 0.0000 0.0000  2 B 2.06
12 Ni 0.3436 0.0000 0.6564  2 B 2.06
13 Ni 0.3436 0.6564 0.0000  2 B 2.06
14 Ni 0.3844 0.3844 0.3844  3 B 2.10
15 Ni 0.3844 0.3844 0.8469  3 B 2.10
16 Ni 0.3844 0.8469 0.3844  3 B 2.10
17 Ni 0.6156 0.1531 0.6156  3 B 2.10
18 Ni 0.6156 0.6156 0.1531  3 B 2.10
19 Ni 0.6156 0.6156 0.6156  3 B 2.10
20 Ni 0.6564 0.0000 0.0000  2 B 2.06
21 Ni 0.6564 0.0000 0.3436  2 B 2.06
22 Ni 0.6564 0.3436 0.0000  2 B 2.06
23 Ni 0.8469 0.3844 0.3844  3 B 2.10
24 B 0.2673 0.2673 0.7327  8 Ni 2.06-2.10
25 B 0.2673 0.7327 0.2673  8 Ni 2.06-2.10
26 B 0.2673 0.7327 0.7327  8 Ni 2.06-2.10
27 B 0.7327 0.2673 0.2673  8 Ni 2.06-2.10
28 B 0.7327 0.2673 0.7327  8 Ni 2.06-2.10
29 B 0.7327 0.7327 0.2673  8 Ni 2.06-2.10

Properties
ρ = 10.3 Mg/m³
total DFT energy (no corrections) = -19.96 eV/atom
calculated formation energy = -0.383 eV/atom